A relaxed Sm2Dy6Sc crystal. Source: Alexandria via LeMat-Bulk, functional PBE.

abc: 6.0577 9.9377 9.9377
angles: 70.64 84.66 84.66
Fractional coordinates of all 18 atoms:
Dy 0.6732 0.2444 0.9743
Dy 0.3268 0.7556 0.0257
Dy 0.5107 0.3096 0.5940
Dy 0.8596 0.6566 0.9338
Dy 0.8268 0.0257 0.7556
Dy 0.6404 0.0662 0.3434
Dy 0.3596 0.9338 0.6566
Dy 0.1732 0.9743 0.2444
Dy 0.0107 0.5940 0.3096
Dy 0.1404 0.3434 0.0662
Dy 0.4893 0.6904 0.4060
Dy 0.9893 0.4060 0.6904
Sm 0.4350 0.5695 0.7722
Sm 0.0650 0.2278 0.4305
Sm 0.5650 0.4305 0.2278
Sm 0.9350 0.7722 0.5695
Sc 0.2500 0.1023 0.8977
Sc 0.7500 0.8977 0.1023

Computed properties:
The space-group type is No. 15. The calculated total energy is -4.719 eV per atom.